# BaLi2InNi

BaLi2InNi after structural relaxation (PBE-GGA, Alexandria).

The structure belongs to space group P4/mmm (No. 123); the cell edges are 5.0625, 5.0625 and 4.9920 Å and the angles 90.00°, 90.00° and 90.00°. Symmetry generates all atoms from Ba at (0.0000, 0.0000, 0.0000), Li at (0.0000, 0.5000, 0.5000), In at (0.5000, 0.5000, 0.0000) and Ni at (0.5000, 0.5000, 0.5000).

Its density of states at the Fermi level is 0.614 states/eV per atom. Its energy relative to the elements is -0.072 eV per atom. As for the magnetic moment: 0.00 μB per atom.

---

# Ba2LiIn12Ni3

Ba2LiIn12Ni3 after structural relaxation (PBE-GGA, Alexandria).

The structure belongs to space group R-3m (No. 166, hexagonal axes); the cell edges are 9.6351, 9.6351 and 20.2331 Å and the angles 90.00°, 90.00° and 120.00°. Symmetry generates all atoms from Ba at (0.0000, 0.0000, 0.1014), Li at (0.0000, 0.0000, 0.5000), In at (0.0059, 0.5030, 0.1258), In at (0.0925, 0.5463, 0.3284) and Ni at (0.0000, 0.5000, 0.0000).

Its density of states at the Fermi level is 0.435 states/eV per atom. Its energy relative to the elements is -0.051 eV per atom. As for the magnetic moment: 0.00 μB per atom.

---

# BaLiIn2Ni

BaLiIn2Ni after structural relaxation (PBE-GGA, Alexandria).

The structure belongs to space group P4/mmm (No. 123); the cell edges are 5.0350, 5.0350 and 5.1711 Å and the angles 90.00°, 90.00° and 90.00°. Symmetry generates all atoms from Ba at (0.0000, 0.0000, 0.0000), Li at (0.5000, 0.5000, 0.0000), In at (0.0000, 0.5000, 0.5000) and Ni at (0.5000, 0.5000, 0.5000).

Its density of states at the Fermi level is 0.829 states/eV per atom. Its energy relative to the elements is -0.227 eV per atom. As for the magnetic moment: 0.00 μB per atom.

---

# BaLiInPb2

BaLiInPb2 after structural relaxation (PBE-GGA, Alexandria).

The structure belongs to space group I-4m2 (No. 119); the cell edges are 4.8667, 4.8667 and 13.4508 Å and the angles 90.00°, 90.00° and 90.00°. Symmetry generates all atoms from Ba at (0.0000, 0.0000, 0.0000), Li at (0.0000, 0.5000, 0.7500), In at (0.0000, 0.5000, 0.2500) and Pb at (0.0000, 0.0000, 0.3833).

Its density of states at the Fermi level is 0.586 states/eV per atom. Its energy relative to the elements is -0.368 eV per atom. As for the magnetic moment: 0.00 μB per atom. The offset from the most stable computed form comes out at 0.0000 eV per atom.